Sr2Mg2Te | PBE | optimized geometry

Values from the calculation:
Magnetization ... 0.0 μB per cell
Polymorph energy (0 for the lowest one) ... 35 meV/atom
Formation energy (no corrections) ... -308 meV/atom

Cell: 8.758 8.758 5.280 Å, 90.00 90.00 90.00°
Space group P4/mbm (No. 127)
Symmetry-distinct sites (fractional):
Sr: 0.175 0.325 0.000
Mg: 0.125 0.625 0.500
Te: 0.000 0.000 0.000

---

SrMgTe2 | PBE | optimized geometry

Values from the calculation:
Magnetization ... 0.0 μB per cell
Formation energy (no corrections) ... -1045 meV/atom

Cell: 4.304 4.035 7.880 Å, 90.00 100.69 90.00°
Space group P2/m (No. 10)
Symmetry-distinct sites (fractional):
Sr: 0.000 0.000 0.000
Mg: 0.500 0.000 0.500
Te: 0.416 0.500 0.747

---

SrMgTe2 | PBE | optimized geometry

Values from the calculation:
Magnetization ... 0.0 μB per cell
Formation energy (no corrections) ... -930 meV/atom

Cell: 5.1213 5.1213 25.3538 Å, 90.00 90.00 120.00°
Space group R-3m (No. 166, hexagonal axes)
Symmetry-distinct sites (fractional):
Sr: 0.0000 0.0000 0.0000
Mg: 0.0000 0.0000 0.5000
Te: 0.0000 0.0000 0.3974

---

Sr2MgTe | PBE | optimized geometry

Values from the calculation:
Magnetization ... 0.0 μB per cell
Polymorph energy (0 for the lowest one) ... 216 meV/atom
Formation energy (no corrections) ... -535 meV/atom

Cell: 9.075 9.075 8.132 Å, 90.00 90.00 90.00°
Space group I-42d (No. 122)
Symmetry-distinct sites (fractional):
Sr: 0.227 0.250 0.125
Mg: 0.000 0.000 0.500
Te: 0.000 0.000 0.000

---

Sr2MgTe | PBE | optimized geometry

Values from the calculation:
Magnetization ... 0.0 μB per cell
Polymorph energy (0 for the lowest one) ... 111 meV/atom
Formation energy (no corrections) ... -641 meV/atom

Cell: 13.831 4.184 5.472 Å, 90.00 112.89 90.00°
Space group Cm (No. 8)
Symmetry-distinct sites (fractional):
Sr: 0.000 0.000 0.000
Sr: 0.215 0.000 0.710
Mg: 0.290 0.500 0.282
Te: 0.492 0.000 0.494

---

Sr4MgTe | PBE | optimized geometry

Values from the calculation:
Magnetization ... 0.0 μB per cell
Formation energy (no corrections) ... 130 meV/atom

Cell: 10.261 10.261 10.261 Å, 90.00 90.00 90.00°
Space group F-43m (No. 216)
Symmetry-distinct sites (fractional):
Sr: 0.125 0.125 0.125
Mg: 0.000 0.000 0.500
Te: 0.250 0.250 0.750

---

Sr2MgTe | PBE | optimized geometry

Values from the calculation:
Magnetization ... 0.0 μB per cell
Polymorph energy (0 for the lowest one) ... 93 meV/atom
Formation energy (no corrections) ... -659 meV/atom

Cell: 4.196 5.775 5.779 Å, 90.00 90.00 90.00°
Space group Pmm2 (No. 25)
Symmetry-distinct sites (fractional):
Sr: 0.000 0.000 0.000
Sr: 0.000 0.500 0.498
Mg: 0.500 0.500 0.997
Te: 0.500 0.000 0.500

---

SrMgTe2 | PBE | optimized geometry

Values from the calculation:
Magnetization ... 0.0 μB per cell
Formation energy (no corrections) ... -1133 meV/atom

Cell: 14.839 4.269 4.528 Å, 90.00 90.93 90.00°
Space group Cm (No. 8)
Symmetry-distinct sites (fractional):
Sr: 0.000 0.000 0.000
Mg: 0.250 0.500 0.651
Te: 0.071 0.500 0.502
Te: 0.314 0.000 0.011

---

SrMgTe2 | PBE | optimized geometry

Values from the calculation:
Magnetization ... 0.0 μB per cell
Formation energy (no corrections) ... -928 meV/atom

Cell: 4.506 7.433 8.309 Å, 90.00 90.00 90.00°
Space group Cmmm (No. 65)
Symmetry-distinct sites (fractional):
Sr: 0.000 0.000 0.000
Mg: 0.000 0.000 0.500
Te: 0.000 0.500 0.273

---

Sr2MgTe | PBE | optimized geometry

Values from the calculation:
Magnetization ... 0.0 μB per cell
Polymorph energy (0 for the lowest one) ... 223 meV/atom
Formation energy (no corrections) ... -529 meV/atom

Cell: 8.316 8.316 8.316 Å, 90.00 90.00 90.00°
Space group Fm-3m (No. 225)
Symmetry-distinct sites (fractional):
Sr: 0.250 0.250 0.250
Mg: 0.000 0.000 0.000
Te: 0.000 0.000 0.500

---

SrMgTe2 | PBE | optimized geometry

Values from the calculation:
Magnetization ... 0.0 μB per cell
Formation energy (no corrections) ... -434 meV/atom

Cell: 7.907 7.907 7.907 Å, 90.00 90.00 90.00°
Space group F-43m (No. 216)
Symmetry-distinct sites (fractional):
Sr: 0.000 0.000 0.000
Mg: 0.250 0.250 0.750
Te: 0.000 0.000 0.500
Te: 0.250 0.250 0.250

---

SrMgTe2 | PBE | optimized geometry

Values from the calculation:
Magnetization ... 0.0 μB per cell
Formation energy (no corrections) ... -902 meV/atom

Cell: 7.783 7.757 3.986 Å, 90.00 90.41 90.00°
Space group C2/m (No. 12)
Symmetry-distinct sites (fractional):
Sr: 0.000 0.000 0.000
Mg: 0.000 0.500 0.000
Te: 0.250 0.250 0.500

---

SrMg4Te | PBE | optimized geometry

Values from the calculation:
Magnetization ... 0.0 μB per cell
Formation energy (no corrections) ... -111 meV/atom

Cell: 8.789 8.789 8.789 Å, 90.00 90.00 90.00°
Space group F-43m (No. 216)
Symmetry-distinct sites (fractional):
Sr: 0.000 0.000 0.000
Mg: 0.125 0.125 0.375
Te: 0.250 0.250 0.750

---

Sr2MgTe | PBE | optimized geometry

Values from the calculation:
Magnetization ... 0.9 μB per cell
Polymorph energy (0 for the lowest one) ... 153 meV/atom
Formation energy (no corrections) ... -598 meV/atom

Cell: 4.833 4.833 6.890 Å, 90.00 90.00 90.00°
Space group P4mm (No. 99)
Symmetry-distinct sites (fractional):
Sr: 0.000 0.000 0.000
Sr: 0.500 0.500 0.499
Mg: 0.500 0.500 0.999
Te: 0.000 0.000 0.500

---

SrMgTe2 | PBE | optimized geometry

Values from the calculation:
Magnetization ... 0.0 μB per cell
Formation energy (no corrections) ... -1222 meV/atom

Cell: 6.931 4.686 18.075 Å, 90.00 90.00 90.00°
Space group Pnma (No. 62)
Symmetry-distinct sites (fractional):
Sr: 0.248 0.250 0.065
Mg: 0.179 0.750 0.332
Te: 0.221 0.250 0.684
Te: 0.246 0.750 0.926

---

SrMgTe2 | PBE | optimized geometry

Values from the calculation:
Magnetization ... 0.0 μB per cell
Formation energy (no corrections) ... -1146 meV/atom

Cell: 7.869 7.869 9.536 Å, 90.00 90.00 90.00°
Space group I-42d (No. 122)
Symmetry-distinct sites (fractional):
Sr: 0.000 0.000 0.000
Mg: 0.000 0.000 0.500
Te: 0.204 0.750 0.625

---

SrMgTe2 | PBE | optimized geometry

Values from the calculation:
Magnetization ... 0.0 μB per cell
Formation energy (no corrections) ... -1245 meV/atom

Cell: 4.4865 4.4865 22.0741 Å, 90.00 90.00 120.00°
Space group R-3m (No. 166, hexagonal axes)
Symmetry-distinct sites (fractional):
Sr: 0.0000 0.0000 0.0000
Mg: 0.0000 0.0000 0.5000
Te: 0.0000 0.0000 0.2393

---

Sr2ThMgTe5 | PBE | optimized geometry

Values from the calculation:
Magnetization ... 0.0 μB per cell
Formation energy (no corrections) ... -1326 meV/atom

Cell: 4.587 19.482 14.341 Å, 90.00 90.00 90.00°
Space group Cmc2_1 (No. 36)
Symmetry-distinct sites (fractional):
Sr: 0.000 0.102 0.000
Sr: 0.000 0.124 0.639
Th: 0.000 0.213 0.347
Mg: 0.000 0.449 0.773
Te: 0.000 0.055 0.385
Te: 0.000 0.281 0.998
Te: 0.000 0.305 0.698
Te: 0.000 0.371 0.326
Te: 0.000 0.498 0.097

---

Sr3Tm3MgTe8 | PBE | optimized geometry

Values from the calculation:
Magnetization ... 0.0 μB per cell
Formation energy (no corrections) ... -1396 meV/atom

Cell: 8.8364 8.8364 22.7462 Å, 90.00 90.00 120.00°
Space group R-3m (No. 166, hexagonal axes)
Symmetry-distinct sites (fractional):
Sr: 0.0000 0.5000 0.0000
Tm: 0.0000 0.5000 0.5000
Mg: 0.0000 0.0000 0.5000
Te: 0.0000 0.0000 0.2423
Te: 0.0004 0.5002 0.2408

---

SrThMg17 | PBE | optimized geometry

Values from the calculation:
Energy relative to the elements ... -0.020 eV per atom
Magnetization ... 0.0 μB per cell

Cell: 10.3512 10.3512 15.3021 Å, 90.00 90.00 120.00°
Space group R3m (No. 160, hexagonal axes)
Symmetry-distinct sites (fractional):
Sr: 0.0000 0.0000 0.0000
Th: 0.0000 0.0000 0.6660
Mg: 0.0000 0.0000 0.2394
Mg: 0.0000 0.0000 0.4368
Mg: 0.0006 0.5003 0.1843
Mg: 0.0029 0.3016 0.3363
Mg: 0.0145 0.5073 0.4882
Mg: 0.1676 0.3351 0.1706

---

SrThMg4 | PBE | optimized geometry

Values from the calculation:
Energy relative to the elements ... 0.038 eV per atom
Magnetization ... 0.0 μB per cell

Cell: 8.786 8.786 8.786 Å, 90.00 90.00 90.00°
Space group F-43m (No. 216)
Symmetry-distinct sites (fractional):
Sr: 0.000 0.000 0.000
Th: 0.250 0.250 0.250
Mg: 0.124 0.124 0.624

---

Sr2ThMg | PBE | optimized geometry

Values from the calculation:
Energy relative to the elements ... 0.386 eV per atom
Magnetization ... 0.0 μB per cell

Cell: 3.6496 3.6496 39.6446 Å, 90.00 90.00 120.00°
Space group R-3m (No. 166, hexagonal axes)
Symmetry-distinct sites (fractional):
Sr: 0.0000 0.0000 0.0921
Th: 0.0000 0.0000 0.0000
Mg: 0.0000 0.0000 0.5000

---

SrMg2Ti | PBE | optimized geometry

Values from the calculation:
Energy relative to the elements ... 0.662 eV per atom
Magnetization ... 9.9 μB per cell
Polymorph energy (0 for the lowest one) ... 315 meV/atom

Cell: 4.713 4.713 22.215 Å, 90.00 90.00 90.00°
Space group I-42d (No. 122)
Symmetry-distinct sites (fractional):
Sr: 0.000 0.000 0.000
Mg: 0.192 0.250 0.625
Ti: 0.000 0.000 0.500

---

SrMg3Ti | PBE | optimized geometry

Values from the calculation:
Energy relative to the elements ... 1.583 eV per atom
Magnetization ... 0.0 μB per cell
Polymorph energy (0 for the lowest one) ... 1071 meV/atom

Cell: 5.616 5.616 5.616 Å, 90.00 90.00 90.00°
Space group Pm-3m (No. 221)
Symmetry-distinct sites (fractional):
Sr: 0.000 0.000 0.000
Mg: 0.000 0.000 0.500
Ti: 0.500 0.500 0.500

---

SrMgTi | PBE | optimized geometry

Values from the calculation:
Energy relative to the elements ... 0.358 eV per atom
Magnetization ... 0.0 μB per cell
Polymorph energy (0 for the lowest one) ... 0 meV/atom

Cell: 4.518 3.454 22.141 Å, 90.00 90.00 90.00°
Space group Amm2 (No. 38)
Symmetry-distinct sites (fractional):
Sr: 0.000 0.000 0.000
Sr: 0.000 0.000 0.199
Mg: 0.500 0.000 0.397
Mg: 0.500 0.000 0.600
Ti: 0.000 0.000 0.839
Ti: 0.500 0.000 0.789

---

SrMgTi | PBE | optimized geometry

Values from the calculation:
Energy relative to the elements ... 1.901 eV per atom
Magnetization ... 7.3 μB per cell
Polymorph energy (0 for the lowest one) ... 1544 meV/atom

Cell: 5.7293 5.7293 12.6675 Å, 90.00 90.00 120.00°
Space group P6_3/mmc (No. 194)
Symmetry-distinct sites (fractional):
Sr: 0.0000 0.0000 0.2500
Mg: 0.3333 0.6667 0.2500
Ti: 0.0000 0.0000 0.0000